[1]
SrMgCr2: optimized geometry, PBE.

Computed properties:
DOS at the Fermi energy ... 0.469 states/eV/atom
Calculated total energy ... -5.178 eV/atom

Cell and atoms, written as POSCAR:
```
SrMgCr2
1.0
2.1766 1.2566 6.1197
-2.1766 1.2566 6.1197
0.0000 -2.5133 6.1197
Sr Mg Cr
1 1 2
direct
0.0000 0.0000 0.0000 Sr
0.1957 0.1957 0.1957 Mg
0.4625 0.4625 0.4625 Cr
0.7942 0.7942 0.7942 Cr
```

=====

[2]
SrMgCr2: optimized geometry, PBE.

Computed properties:
DOS at the Fermi energy ... 1.050 states/eV/atom
Calculated total energy ... -4.658 eV/atom

Cell and atoms, written as POSCAR:
```
SrMgCr2
1.0
1.7075 0.9858 9.9674
-1.7075 0.9858 9.9674
0.0000 -1.9717 9.9674
Sr Mg Cr
1 1 2
direct
0.0000 0.0000 0.0000 Sr
0.5000 0.5000 0.5000 Mg
0.2413 0.2413 0.2413 Cr
0.7587 0.7587 0.7587 Cr
```

=====

[3]
SrMgCr2: optimized geometry, PBE.

Computed properties:
DOS at the Fermi energy ... 0.893 states/eV/atom
Calculated total energy ... -4.858 eV/atom

Cell and atoms, written as POSCAR:
```
SrMgCr2
1.0
3.6830 0.0000 0.0000
0.0000 3.6830 0.0000
0.0000 0.0000 6.7988
Sr Mg Cr
1 1 2
direct
0.0000 0.0000 0.0000 Sr
0.0000 0.0000 0.5000 Mg
0.5000 0.5000 0.3648 Cr
0.5000 0.5000 0.6352 Cr
```